1.
The following is a PBE calculation of an optimized crystal structure of Nb4TlAuC2, from OQMD via LeMat-Bulk.

Structure (extended XYZ):
```
8
Lattice="3.2060 0.0000 0.0000 -1.6030 2.7765 0.0000 0.0000 0.0000 14.2152" Properties=species:S:1:pos:R:3 pbc="T T T"
Nb 0.0000 0.0000 2.2690
Nb 0.0000 0.0000 11.9461
Nb 1.6030 0.9255 4.6373
Nb 1.6030 0.9255 9.5778
Tl 0.0000 0.0000 7.1076
Au 1.6030 0.9255 0.0000
C 0.0000 1.8510 3.4446
C 0.0000 1.8510 10.7706
```

Output
size of the total moment	0.000	μB/atom



2.
The following is a PBE calculation of an optimized crystal structure of PuTlTc, from OQMD via LeMat-Bulk.

Structure (extended XYZ):
```
3
Lattice="0.0000 3.3913 3.3913 3.3913 0.0000 3.3913 3.3913 3.3913 0.0000" Properties=species:S:1:pos:R:3 pbc="T T T"
Pu 0.0000 0.0000 0.0000
Tl 1.6957 1.6957 1.6957
Tc 3.3913 3.3913 3.3913
```

Output
size of the total moment	1.457	μB/atom



3.
The following is a PBE calculation of an optimized crystal structure of Y4GaNi2Ge4, from OQMD via LeMat-Bulk.

Structure (extended XYZ):
```
11
Lattice="7.6816 -2.1180 0.0000 7.6816 2.1180 0.0000 -2.1709 0.0000 6.6102" Properties=species:S:1:pos:R:3 pbc="T T T"
Y 0.5256 0.0000 2.5235
Y 0.3105 0.0000 6.2130
Y 12.8818 0.0000 0.3972
Y 12.6667 0.0000 4.0867
Ga 7.6816 0.0000 0.0000
Ni 3.5675 0.0000 2.3747
Ni 9.6248 0.0000 4.2355
Ge 2.9741 0.0000 4.8140
Ge 5.9547 0.0000 2.2091
Ge 7.2376 0.0000 4.4011
Ge 10.2183 0.0000 1.7962
```

Output
size of the total moment	0.000	μB/atom



4.
The following is a PBE calculation of an optimized crystal structure of Sr2Zn3Au6, from OQMD via LeMat-Bulk.

Structure (extended XYZ):
```
22
Lattice="4.2614 2.4603 7.3952 -4.2614 2.4603 7.3952 0.0000 -4.9207 7.3952" Properties=species:S:1:pos:R:3 pbc="T T T"
Sr 0.0000 0.0000 2.0473
Sr 0.0000 0.0000 9.0455
Sr 0.0000 0.0000 13.1401
Sr 0.0000 0.0000 20.1383
Zn -0.8194 -1.4192 5.5464
Zn -0.8194 1.4192 5.5464
Zn 1.6387 0.0000 5.5464
Zn -1.6387 0.0000 16.6392
Zn 0.8194 -1.4192 16.6392
Zn 0.8194 1.4192 16.6392
Au -2.6241 0.1775 7.0300
Au -1.6373 -2.2829 10.7276
Au -2.7957 0.2765 11.4581
Au 1.1584 -2.3613 7.0300
Au -1.4657 -2.1838 15.1557
Au 1.1584 -2.5594 11.4581
Au -1.1584 2.5594 10.7276
Au 1.4658 2.1838 7.0300
Au -1.1584 2.3613 15.1557
Au 2.7957 -0.2765 10.7276
Au 1.6373 2.2829 11.4581
Au 2.6241 -0.1775 15.1557
```



5.
The following is a PBE calculation of an optimized crystal structure of BaNdAsO, from OQMD via LeMat-Bulk.

Structure (extended XYZ):
```
8
Lattice="4.2395 0.0000 0.0000 0.0000 7.0886 0.0000 0.0000 0.0000 7.6693" Properties=species:S:1:pos:R:3 pbc="T T T"
Ba 0.0000 0.4128 0.0000
Ba 0.0000 6.6757 3.8346
Nd 2.1198 2.6632 2.7065
Nd 2.1198 4.4254 6.5412
As 2.1198 1.7084 5.5011
As 2.1198 5.3801 1.6665
O 0.0000 1.8451 2.2119
O 0.0000 5.2434 6.0465
```

Output
size of the total moment	0.000	μB/atom



6.
The following is a PBE calculation of an optimized crystal structure of ErZn8Cu4, from OQMD via LeMat-Bulk.

Structure (extended XYZ):
```
13
Lattice="-4.3726 4.3726 2.4756 4.3726 -4.3726 2.4756 4.3726 4.3726 -2.4756" Properties=species:S:1:pos:R:3 pbc="T T T"
Er 0.0000 0.0000 0.0000
Zn 3.0356 0.0000 0.0000
Zn 5.7095 0.0000 0.0000
Zn 4.3726 2.4718 0.0000
Zn 0.0000 3.0356 0.0000
Zn 2.4718 4.3726 0.0000
Zn 1.9008 0.0000 2.4756
Zn 0.0000 5.7095 0.0000
Zn 0.0000 1.9008 2.4756
Cu 2.1863 2.1863 -1.2378
Cu 2.1863 -2.1863 1.2378
Cu -2.1863 2.1863 1.2378
Cu 2.1863 2.1863 1.2378
```

Output
size of the total moment	0.000	μB/atom
formation enthalpy at 0 K	-0.199	eV/atom



| no. | VASP energy (eV/atom) |
| --- | --- |
| 1 | -8.3973 |
| 2 | -8.0640 |
| 3 | -6.1147 |
| 4 | -2.9874 |
| 5 | -5.9219 |
| 6 | -2.4724 |